# 1
The following is a DFT calculation (PBE) of crystalline CsIr3Au at its relaxed geometry.

Lattice parameters (Å, degrees): 5.0665 5.0665 5.0665 90.00 90.00 90.00
Space group Pm-3m (No. 221)
Unique sites:
Cs  0.0000  0.0000  0.0000
Ir  0.0000  0.5000  0.5000
Au  0.5000  0.5000  0.5000

Its excess energy over the best structure of this formula in the dataset is 0 meV/atom. The value obtained for the formation energy is 1.960 eV/atom.



# 2
The following is a DFT calculation (PBE) of crystalline CsIrAu3 at its relaxed geometry.

Lattice parameters (Å, degrees): 5.2181 5.2181 5.2181 90.00 90.00 90.00
Space group Pm-3m (No. 221)
Unique sites:
Cs  0.0000  0.0000  0.0000
Ir  0.5000  0.5000  0.5000
Au  0.0000  0.5000  0.5000

The value obtained for the formation energy is 0.381 eV/atom.



# 3
The following is a DFT calculation (PBE) of crystalline CsIr3Au at its relaxed geometry.

Lattice parameters (Å, degrees): 4.9541 4.9541 4.9541 90.00 90.00 90.00
Space group Pm-3m (No. 221)
Unique sites:
Cs  0.0000  0.0000  0.0000
Ir  0.0000  0.0000  0.5000
Au  0.5000  0.5000  0.5000

Its excess energy over the best structure of this formula in the dataset is 1178 meV/atom. The value obtained for the formation energy is 3.138 eV/atom.



# 4
The following is a DFT calculation (PBE) of crystalline Cs2IrAuN at its relaxed geometry.

Lattice parameters (Å, degrees): 6.6614 6.6614 3.6988 90.00 90.00 90.00
Space group P4/mmm (No. 123)
Unique sites:
Cs  0.0000  0.5000  0.0000
Ir  0.0000  0.0000  0.5000
Au  0.5000  0.5000  0.5000
N  0.0000  0.0000  0.0000

The raw formation energy comes out at 0.45 kJ/mol of atoms.